Here is an optimized crystal structure of Hf3Nb5In12 from Alexandria via LeMat-Bulk. Energies are from PBE-GGA.

Results
formation energy	0.9973	eV/atom
space group	Ia-3d
total magnetic moment	11.41	Bohr magnetons per cell
crystal system	cubic

Cell: 14.4691 14.4691 14.4691 Å, 109.47 109.47 109.47°
Positions (direct):
Hf 0.1250 0.2500 0.3750
Hf 0.1250 0.3750 0.7500
Hf 0.2500 0.3750 0.1250
Hf 0.2500 0.8750 0.6250
Hf 0.3750 0.1250 0.2500
Hf 0.3750 0.7500 0.1250
Hf 0.6250 0.2500 0.8750
Hf 0.6250 0.8750 0.7500
Hf 0.7500 0.1250 0.3750
Hf 0.7500 0.6250 0.8750
Hf 0.8750 0.6250 0.2500
Hf 0.8750 0.7500 0.6250
Nb 0.0000 0.0000 0.0000
Nb 0.0000 0.0000 0.5000
Nb 0.0000 0.5000 0.0000
Nb 0.0000 0.5000 0.5000
Nb 0.1250 0.7500 0.8750
Nb 0.1250 0.8750 0.2500
Nb 0.2500 0.1250 0.8750
Nb 0.2500 0.6250 0.3750
Nb 0.3750 0.2500 0.6250
Nb 0.3750 0.6250 0.7500
Nb 0.5000 0.0000 0.0000
Nb 0.5000 0.0000 0.5000
Nb 0.5000 0.5000 0.0000
Nb 0.5000 0.5000 0.5000
Nb 0.6250 0.3750 0.2500
Nb 0.6250 0.7500 0.3750
Nb 0.7500 0.3750 0.6250
Nb 0.7500 0.8750 0.1250
Nb 0.8750 0.1250 0.7500
Nb 0.8750 0.2500 0.1250
In 0.0629 0.2279 0.1382
In 0.0629 0.3351 0.9247
In 0.0753 0.6382 0.4104
In 0.0753 0.9371 0.6649
In 0.0896 0.7279 0.6649
In 0.0896 0.8618 0.4247
In 0.1382 0.0629 0.2279
In 0.1382 0.5753 0.9104
In 0.1649 0.2279 0.5896
In 0.1649 0.4371 0.5753
In 0.2279 0.1382 0.0629
In 0.2279 0.5896 0.1649
In 0.2721 0.3351 0.9104
In 0.2721 0.4371 0.3618
In 0.3351 0.9104 0.2721
In 0.3351 0.9247 0.0629
In 0.3618 0.2721 0.4371
In 0.3618 0.5896 0.9247
In 0.4104 0.0753 0.6382
In 0.4104 0.8351 0.7721
In 0.4247 0.0896 0.8618
In 0.4247 0.8351 0.5629
In 0.4371 0.3618 0.2721
In 0.4371 0.5753 0.1649
In 0.5629 0.4247 0.8351
In 0.5629 0.6382 0.7279
In 0.5753 0.1649 0.4371
In 0.5753 0.9104 0.1382
In 0.5896 0.1649 0.2279
In 0.5896 0.9247 0.3618
In 0.6382 0.4104 0.0753
In 0.6382 0.7279 0.5629
In 0.6649 0.0753 0.9371
In 0.6649 0.0896 0.7279
In 0.7279 0.5629 0.6382
In 0.7279 0.6649 0.0896
In 0.7721 0.4104 0.8351
In 0.7721 0.8618 0.9371
In 0.8351 0.5629 0.4247
In 0.8351 0.7721 0.4104
In 0.8618 0.4247 0.0896
In 0.8618 0.9371 0.7721
In 0.9104 0.1382 0.5753
In 0.9104 0.2721 0.3351
In 0.9247 0.0629 0.3351
In 0.9247 0.3618 0.5896
In 0.9371 0.6649 0.0753
In 0.9371 0.7721 0.8618